# VH2BrO, optimized geometry, DFT PBE+U
# Calculated total energy (eV per atom): -3.914
data_VH2BrO
_chemical_formula_sum 'V1 H2 Br1 O1'
_symmetry_space_group_name_H-M 'P 4/m m m'
_symmetry_Int_Tables_number 123
_symmetry_space_group_name_Hall '-P 4 2'
_cell_length_a 4.089
_cell_length_b 4.089
_cell_length_c 3.620
_cell_angle_alpha 90.00
_cell_angle_beta 90.00
_cell_angle_gamma 90.00
loop_
_atom_site_label
_atom_site_type_symbol
_atom_site_fract_x
_atom_site_fract_y
_atom_site_fract_z
_atom_site_occupancy
V1 V 0.000 0.000 0.000 1
H1 H 0.000 0.500 0.000 1
Br1 Br 0.500 0.500 0.500 1
O1 O 0.000 0.000 0.500 1